Record 1
{"formula": "Re3TcRu", "functional": "PBE-GGA", "state": "optimized geometry", "crystal_system": "triclinic", "polymorph_energy_mev_per_atom": 0, "e_form_ev_per_atom": 0.051, "sg": "P-1", "cell": [[2.577, 0.557, -0.769], [0.635, 9.473, -0.827], [-1.989, -1.689, 6.795]], "species": ["Re", "Re", "Re", "Re", "Re", "Re", "Tc", "Tc", "Ru", "Ru"], "fractional_positions": [[0.255, 0.160, 0.748], [0.260, 0.058, 0.348], [0.267, 0.657, 0.752], [0.256, 0.261, 0.149], [0.259, 0.957, 0.947], [0.249, 0.561, 0.344], [0.261, 0.360, 0.551], [0.255, 0.857, 0.545], [0.259, 0.458, 0.949], [0.256, 0.759, 0.147]]}


Record 2
{"formula": "ScGeSbI2", "functional": "PBE-GGA", "state": "optimized geometry", "crystal_system": "tetragonal", "polymorph_energy_mev_per_atom": 0, "e_form_raw_ev_per_atom": 0.041, "sg": "P4/mmm", "cell": [[-3.330, -0.923, -4.308], [0.021, -5.403, 1.142], [-4.704, 0.718, 3.483]], "species": ["I", "I", "Sb", "Ge", "Sc"], "fractional_positions": [[0.000, 0.500, 0.000], [0.500, 0.000, 0.000], [0.000, 0.000, 0.500], [0.500, 0.500, 0.500], [0.000, 0.000, 0.000]]}


Record 3
{"formula": "LuAlRu2", "functional": "PBE-GGA", "state": "optimized geometry", "crystal_system": "tetragonal", "e_form_ev_per_atom": -0.489, "sg": "P4/mmm", "cell": [[3.189, 0.000, 0.000], [0.000, 3.189, 0.000], [0.000, 0.000, 6.345]], "species": ["Ru", "Ru", "Lu", "Al"], "fractional_positions": [[0.000, 0.000, 0.780], [0.000, 0.000, 0.220], [0.500, 0.500, 0.500], [0.500, 0.500, 0.000]]}


Record 4
{"formula": "Ho3TlCd2", "functional": "PBE-GGA", "state": "optimized geometry", "crystal_system": "tetragonal", "polymorph_energy_mev_per_atom": 6, "e_form_ev_per_atom": -0.321, "sg": "P4/mmm", "cell": [[3.752, 0.000, 0.000], [0.000, 3.752, 0.000], [0.000, 0.000, 11.183]], "species": ["Ho", "Ho", "Ho", "Tl", "Cd", "Cd"], "fractional_positions": [[0.000, 0.000, 0.000], [0.000, 0.000, 0.672], [0.000, 0.000, 0.328], [0.500, 0.500, 0.500], [0.500, 0.500, 0.839], [0.500, 0.500, 0.161]]}


Record 5
{"formula": "CdNiTeI2", "functional": "PBE-GGA", "state": "optimized geometry", "crystal_system": "tetragonal", "polymorph_energy_mev_per_atom": 0, "e_form_raw_ev_per_atom": 0.192, "sg": "P4/mmm", "cell": [[5.305, 0.000, 0.000], [0.000, 5.305, 0.000], [0.000, 0.000, 5.222]], "species": ["I", "I", "Ni", "Te", "Cd"], "fractional_positions": [[0.000, 0.500, 0.000], [0.500, 0.000, 0.000], [0.000, 0.000, 0.000], [0.000, 0.000, 0.500], [0.500, 0.500, 0.500]]}


Record 6
{"formula": "NaTi2PPb", "functional": "PBE-GGA", "state": "optimized geometry", "crystal_system": "tetragonal", "e_form_ev_per_atom": 1.543, "sg": "P4/mmm", "cell": [[4.857, 0.000, 0.000], [0.000, 5.048, 0.000], [0.000, 0.000, 4.857]], "species": ["Pb", "P", "Na", "Ti", "Ti"], "fractional_positions": [[0.000, 0.500, 0.000], [0.500, 0.500, 0.500], [0.000, 0.000, 0.000], [0.000, 0.000, 0.500], [0.500, 0.000, 0.000]]}


Record 7
{"formula": "Pa4FeAsSe2", "functional": "PBE-GGA", "state": "optimized geometry", "crystal_system": "monoclinic", "e_form_raw_ev_per_atom": -0.890, "sg": "P2/m", "cell": [[3.881, 0.000, 0.000], [0.000, 7.094, -0.208], [0.000, 2.438, 6.719]], "species": ["Pa", "Pa", "Pa", "Pa", "Fe", "As", "Se", "Se"], "fractional_positions": [[0.000, 0.715, 0.783], [0.000, 0.285, 0.217], [0.500, 0.737, 0.240], [0.500, 0.263, 0.760], [0.500, 0.500, 0.000], [0.000, 0.500, 0.500], [0.000, 0.000, 0.000], [0.500, 0.000, 0.500]]}


Record 8
{"formula": "Tb8GaC4", "functional": "PBE-GGA", "state": "optimized geometry", "crystal_system": "monoclinic", "e_form_ev_per_atom": -0.241, "sg": "C2/m", "cell": [[3.558, 0.000, 0.771], [1.623, 8.726, 1.105], [-0.120, 0.005, 9.153]], "species": ["Tb", "Tb", "Tb", "Tb", "Tb", "Tb", "Tb", "Tb", "Ga", "C", "C", "C", "C"], "fractional_positions": [[0.150, 0.325, 0.375], [0.558, 0.653, 0.231], [0.473, 0.351, 0.703], [0.882, 0.678, 0.559], [0.855, 0.988, 0.302], [0.214, 0.667, 0.905], [0.176, 0.015, 0.632], [0.817, 0.336, 0.029], [0.516, 0.002, 0.967], [0.366, 0.836, 0.433], [0.846, 0.509, 0.798], [0.185, 0.495, 0.136], [0.666, 0.167, 0.501]]}


Record 9
{"formula": "SrCrRe2", "functional": "PBE-GGA", "state": "optimized geometry", "crystal_system": "trigonal", "polymorph_energy_mev_per_atom": 265, "e_form_ev_per_atom": 0.888, "sg": "R-3m", "cell": [[9.665, -0.011, -0.007], [9.236, 2.850, -0.007], [9.236, 1.387, 2.490]], "species": ["Cr", "Re", "Re", "Sr"], "fractional_positions": [[0.750, 0.750, 0.750], [0.015, 0.015, 0.015], [0.485, 0.485, 0.485], [0.250, 0.250, 0.250]]}


Record 10
{"formula": "Na3Nd3PbO8", "functional": "PBE-GGA", "state": "optimized geometry", "crystal_system": "trigonal", "e_form_raw_ev_per_atom": -2.260, "sg": "R-3m", "cell": [[7.124, 0.000, 0.000], [-3.562, 6.169, -0.021], [0.000, -4.094, 5.619]], "species": ["Na", "Na", "Na", "Nd", "Nd", "Nd", "Pb", "O", "O", "O", "O", "O", "O", "O", "O"], "fractional_positions": [[0.000, 0.000, 0.000], [0.000, 0.500, 0.000], [0.500, 0.500, 0.000], [0.500, 0.000, 0.500], [0.500, 0.500, 0.500], [0.000, 0.500, 0.500], [0.000, 0.000, 0.500], [0.264, 0.527, 0.291], [0.736, 0.473, 0.709], [0.775, 0.549, 0.289], [0.225, 0.451, 0.711], [0.775, 0.015, 0.289], [0.225, 0.985, 0.711], [0.240, 0.015, 0.289], [0.760, 0.985, 0.711]]}


Record 11
{"formula": "Ce4Bi3Pb", "functional": "PBE-GGA", "state": "optimized geometry", "crystal_system": "orthorhombic", "polymorph_energy_mev_per_atom": 237, "e_form_ev_per_atom": -0.436, "sg": "Immm", "cell": [[4.321, 0.000, 0.000], [0.000, 7.645, -1.152], [-2.161, -2.655, 8.318]], "species": ["Ce", "Ce", "Ce", "Ce", "Bi", "Bi", "Bi", "Pb"], "fractional_positions": [[0.365, 0.547, 0.730], [0.635, 0.453, 0.270], [0.635, 0.816, 0.270], [0.365, 0.184, 0.730], [0.000, 0.500, 0.000], [0.174, 0.174, 0.348], [0.826, 0.826, 0.652], [0.500, 0.000, 0.000]]}


Record 12
{"formula": "SiRhBr2", "functional": "PBE-GGA", "state": "optimized geometry", "crystal_system": "orthorhombic", "polymorph_energy_mev_per_atom": 726, "e_form_raw_ev_per_atom": 0.537, "sg": "Cmmm", "cell": [[-1.433, 3.047, -0.626], [-1.792, -2.919, 0.044], [-1.507, 1.054, 8.582]], "species": ["Br", "Br", "Rh", "Si"], "fractional_positions": [[0.000, 0.000, 0.032], [0.000, 0.000, 0.468], [0.500, 0.500, 0.250], [0.500, 0.500, 0.750]]}


Record 13
{"formula": "PmGa4Ni2Pt", "functional": "PBE-GGA", "state": "optimized geometry", "crystal_system": "trigonal", "e_form_ev_per_atom": -0.514, "sg": "R-3m", "cell": [[-1.877, 0.315, -3.708], [2.190, -0.572, -3.500], [-1.805, -8.792, -2.175]], "species": ["Pm", "Ga", "Ga", "Ga", "Ga", "Ni", "Ni", "Pt"], "fractional_positions": [[0.000, 0.000, 0.000], [0.401, 0.401, 0.796], [0.874, 0.874, 0.379], [0.126, 0.126, 0.621], [0.599, 0.599, 0.204], [0.769, 0.769, 0.692], [0.231, 0.231, 0.308], [0.500, 0.500, 0.500]]}


Record 14
{"formula": "Ac2Dy3Te6", "functional": "PBE-GGA", "state": "optimized geometry", "crystal_system": "monoclinic", "e_form_raw_ev_per_atom": -1.442, "sg": "C2/m", "cell": [[-5.357, 0.696, -5.516], [-4.264, -6.078, -2.029], [-6.906, 2.084, 3.348]], "species": ["Ac", "Ac", "Dy", "Dy", "Dy", "Te", "Te", "Te", "Te", "Te", "Te"], "fractional_positions": [[0.165, 0.670, 0.500], [0.835, 0.330, 0.500], [0.000, 0.000, 0.000], [0.330, 0.341, 0.000], [0.670, 0.659, 0.000], [0.412, 0.678, 0.767], [0.732, 0.000, 0.769], [0.090, 0.322, 0.767], [0.268, 0.000, 0.231], [0.588, 0.322, 0.233], [0.910, 0.678, 0.233]]}


Record 15
{"formula": "ZrFeP2N", "functional": "PBE-GGA", "state": "optimized geometry", "crystal_system": "tetragonal", "e_form_raw_ev_per_atom": -0.012, "sg": "P4/mmm", "cell": [[4.342, 0.000, 0.000], [0.000, 3.593, 0.000], [0.000, 0.000, 4.342]], "species": ["P", "P", "Fe", "Zr", "N"], "fractional_positions": [[0.000, 0.000, 0.500], [0.500, 0.000, 0.000], [0.000, 0.500, 0.000], [0.500, 0.500, 0.500], [0.000, 0.000, 0.000]]}


Record 16
{"formula": "SrIn2Cu", "functional": "PBE-GGA", "state": "optimized geometry", "crystal_system": "cubic", "e_form_ev_per_atom": -0.030, "sg": "Fm-3m", "cell": [[0.000, 3.670, 3.670], [3.670, 0.000, 3.670], [3.670, 3.670, 0.000]], "species": ["Sr", "Cu", "In", "In"], "fractional_positions": [[0.500, 0.500, 0.500], [0.000, 0.000, 0.000], [0.250, 0.250, 0.250], [0.750, 0.750, 0.750]]}


Record 17
{"formula": "Ac4GeAsSe2", "functional": "PBE-GGA", "state": "optimized geometry", "crystal_system": "monoclinic", "e_form_raw_ev_per_atom": -1.566, "sg": "P2/m", "cell": [[4.549, 0.000, 0.000], [0.000, 7.872, 0.134], [0.000, -2.751, 7.354]], "species": ["Ac", "Ac", "Ac", "Ac", "Ge", "As", "Se", "Se"], "fractional_positions": [[0.500, 0.249, 0.239], [0.500, 0.751, 0.761], [0.000, 0.255, 0.761], [0.000, 0.745, 0.239], [0.500, 0.500, 0.000], [0.000, 0.000, 0.000], [0.500, 0.000, 0.500], [0.000, 0.500, 0.500]]}


Record 18
{"formula": "NaPa3Mn4N12", "functional": "PBE-GGA", "state": "optimized geometry", "crystal_system": "trigonal", "e_form_raw_ev_per_atom": -0.390, "sg": "R32", "cell": [[7.113, -0.047, -0.066], [-1.760, 6.892, -0.066], [-1.760, -2.250, 6.515]], "species": ["Na", "Pa", "Pa", "Pa", "Mn", "Mn", "Mn", "Mn", "N", "N", "N", "N", "N", "N", "N", "N", "N", "N", "N", "N"], "fractional_positions": [[0.000, 0.000, 0.000], [0.550, 0.450, 0.000], [0.450, 0.000, 0.550], [0.000, 0.550, 0.450], [0.950, 0.050, 0.500], [0.050, 0.500, 0.950], [0.500, 0.950, 0.050], [0.500, 0.500, 0.500], [0.500, 0.345, 0.655], [0.893, 0.500, 0.107], [0.107, 0.893, 0.500], [0.500, 0.107, 0.893], [0.367, 0.968, 0.213], [0.213, 0.367, 0.968], [0.968, 0.213, 0.367], [0.633, 0.787, 0.032], [0.032, 0.633, 0.787], [0.787, 0.032, 0.633], [0.655, 0.500, 0.345], [0.345, 0.655, 0.500]]}


Record 19
{"formula": "Cs2NdPuS4", "functional": "PBE-GGA", "state": "optimized geometry", "crystal_system": "monoclinic", "e_form_raw_ev_per_atom": -1.662, "sg": "P2/m", "cell": [[4.217, 0.000, 0.000], [0.000, 7.315, 0.124], [0.000, -2.573, 8.020]], "species": ["Cs", "Cs", "Nd", "Pu", "S", "S", "S", "S"], "fractional_positions": [[0.500, 0.000, 0.500], [0.000, 0.500, 0.500], [0.000, 0.000, 0.000], [0.500, 0.500, 0.000], [0.500, 0.232, 0.186], [0.500, 0.768, 0.814], [0.000, 0.279, 0.819], [0.000, 0.721, 0.181]]}


Record 20
{"formula": "ScBeAl2", "functional": "PBE-GGA", "state": "optimized geometry", "crystal_system": "cubic", "e_form_ev_per_atom": -0.019, "sg": "F-43m", "cell": [[-2.309, -2.946, 2.435], [1.351, -4.250, 0.233], [1.720, -1.590, 3.802]], "species": ["Sc", "Be", "Al", "Al"], "fractional_positions": [[0.750, 0.750, 0.750], [0.500, 0.500, 0.500], [0.000, 0.000, 0.000], [0.250, 0.250, 0.250]]}


Record 21
{"formula": "Sc2TcSb", "functional": "PBE-GGA", "state": "optimized geometry", "crystal_system": "tetragonal", "e_form_raw_ev_per_atom": -0.329, "sg": "I-4m2", "cell": [[-1.158, -3.943, 3.234], [0.652, -4.578, -2.443], [3.104, 4.176, 0.523]], "species": ["Sb", "Sc", "Sc", "Tc"], "fractional_positions": [[0.750, 0.250, 0.500], [0.000, 0.000, 0.000], [0.250, 0.750, 0.500], [0.500, 0.500, 0.000]]}


Record 22
{"formula": "Tb6SmYEr2", "functional": "PBE-GGA", "state": "optimized geometry", "crystal_system": "monoclinic", "e_form_ev_per_atom": 0.118, "sg": "C2/c", "cell": [[-4.983, -4.308, 6.924], [1.717, -7.512, -4.235], [6.104, 3.094, 5.521]], "species": ["Tb", "Tb", "Tb", "Tb", "Tb", "Tb", "Tb", "Tb", "Tb", "Tb", "Tb", "Tb", "Sm", "Sm", "Y", "Y", "Er", "Er", "Er", "Er"], "fractional_positions": [[0.056, 0.120, 0.753], [0.444, 0.247, 0.880], [0.944, 0.880, 0.247], [0.556, 0.753, 0.120], [0.318, 0.982, 0.434], [0.182, 0.566, 0.018], [0.682, 0.018, 0.566], [0.818, 0.434, 0.982], [0.120, 0.708, 0.492], [0.380, 0.508, 0.292], [0.880, 0.292, 0.508], [0.620, 0.492, 0.708], [0.250, 0.974, 0.026], [0.750, 0.026, 0.974], [0.250, 0.409, 0.591], [0.750, 0.591, 0.409], [0.455, 0.801, 0.697], [0.045, 0.303, 0.199], [0.545, 0.199, 0.303], [0.955, 0.697, 0.801]]}


Record 23
{"formula": "Pm2Ni2Cl", "functional": "PBE-GGA", "state": "optimized geometry", "crystal_system": "monoclinic", "e_form_raw_ev_per_atom": -0.868, "sg": "C2/m", "cell": [[3.822, -0.035, -1.285], [-2.123, 3.428, 0.016], [0.523, 0.491, 8.321]], "species": ["Pm", "Pm", "Ni", "Ni", "Cl"], "fractional_positions": [[0.864, 0.409, 0.273], [0.136, 0.591, 0.727], [0.337, 0.166, 0.504], [0.663, 0.834, 0.496], [0.000, 0.000, 0.000]]}


Record 24
{"formula": "Dy2ScAg2", "functional": "PBE-GGA", "state": "optimized geometry", "crystal_system": "orthorhombic", "e_form_ev_per_atom": -0.136, "sg": "Immm", "cell": [[3.949, 0.000, 0.000], [1.974, 5.786, 0.125], [1.974, 1.670, 5.541]], "species": ["Dy", "Dy", "Sc", "Ag", "Ag"], "fractional_positions": [[0.209, 0.291, 0.291], [0.791, 0.709, 0.709], [0.000, 0.000, 0.000], [0.500, 0.291, 0.709], [0.500, 0.709, 0.291]]}